# 1
{"formula": "ScCd2In2", "functional": "PBE", "state": "optimized geometry", "lattice": [[-0.552, -8.136, 1.078], [8.197, -0.493, 0.476], [-0.178, 0.484, 3.564]], "species": ["In", "In", "In", "In", "Sc", "Sc", "Cd", "Cd", "Cd", "Cd"], "fractional_positions": [[0.864, 0.636, 0.000], [0.636, 0.136, 0.000], [0.136, 0.364, 0.000], [0.364, 0.864, 0.000], [0.000, 0.000, 0.000], [0.500, 0.500, 0.000], [0.334, 0.166, 0.500], [0.834, 0.334, 0.500], [0.666, 0.834, 0.500], [0.166, 0.666, 0.500]], "energy_ev_per_atom": -2.721, "total_magnetization_mub_per_fu": 0.39, "ef_ev_per_atom": 0.01}

# 2
{"formula": "Tl8Br4Cl3F", "functional": "PBE", "state": "optimized geometry", "lattice": [[-6.430, 2.652, -6.068], [2.386, -7.008, -5.592], [-2.402, -1.695, 8.826]], "species": ["Br", "Br", "Br", "Br", "Tl", "Tl", "Tl", "Tl", "Tl", "Tl", "Tl", "Tl", "F", "Cl", "Cl", "Cl"], "fractional_positions": [[0.000, 0.000, 0.000], [0.000, 0.000, 0.500], [0.500, 0.000, 0.500], [0.500, 0.000, 0.000], [0.226, 0.288, 0.007], [0.259, 0.751, 0.517], [0.219, 0.712, 0.993], [0.254, 0.262, 0.509], [0.781, 0.288, 0.007], [0.741, 0.249, 0.483], [0.746, 0.738, 0.491], [0.774, 0.712, 0.993], [0.000, 0.500, 0.000], [0.500, 0.500, 0.000], [0.500, 0.500, 0.500], [0.000, 0.500, 0.500]], "energy_ev_per_atom": -3.073, "total_magnetization_mub_per_fu": 0.00, "raw_formation_energy_ev_per_atom": -1.01}